The following is a PBE-GGA calculation of a geometry-optimized Ca6Cd5 structure, from the Alexandria database.

Cell lengths 5.4364, 7.6082, 9.3560 Å; angles 113.99, 106.89, 90.00 degrees
Closest atoms and distances in Å follow each position.
Element x y z (fractional)
1 Ca 0.5000 0.2480 0.0000  6 Cd 3.33-3.37
2 Ca 0.1641 0.9161 0.3281  7 Cd 3.28-3.33
3 Ca 0.8359 0.0839 0.6719  7 Cd 3.28-3.33
4 Ca 0.1641 0.4121 0.3281  7 Cd 3.28-3.33
5 Ca 0.5000 0.7520 0.0000  6 Cd 3.33-3.37
6 Ca 0.8359 0.5879 0.6719  7 Cd 3.28-3.33
7 Cd 0.3312 0.3312 0.6623  8 Ca 3.30-3.34
8 Cd 0.6688 0.6688 0.3377  8 Ca 3.30-3.34
9 Cd 0.6721 0.1721 0.3441  8 Ca 3.28-3.37
10 Cd 0.0000 0.5000 0.0000  8 Ca 3.28-3.33
11 Cd 0.3279 0.8279 0.6559  8 Ca 3.28-3.37

Calculated values
Electronic total energy = -1.796 eV/atom
Fermi-level density of states = 11.06 states/eV per cell


The following is a PBE-GGA calculation of a geometry-optimized CaCeCd2 structure, from the Alexandria database.

Cell lengths 5.4192, 5.4229, 5.4229 Å; angles 60.00, 59.98, 59.98 degrees
Closest atoms and distances in Å follow each position.
Element x y z (fractional)
1 Cd 0.4999 0.5000 0.5000  4 Ce 3.32, 4 Ca 3.32
2 Cd 0.0001 0.0000 0.0000  4 Ce 3.32, 4 Ca 3.32
3 Ca 0.2500 0.2500 0.2500  8 Cd 3.32
4 Ce 0.7500 0.7500 0.7500  8 Cd 3.32

Calculated values
Electronic total energy = -2.697 eV/atom
Fermi-level density of states = 9.56 states/eV per cell


The following is a PBE-GGA calculation of a geometry-optimized Ca2CeCd5 structure, from the Alexandria database.

Cell lengths 5.2822, 5.2822, 8.4210 Å; angles 108.28, 108.28, 90.00 degrees
Closest atoms and distances in Å follow each position.
Element x y z (fractional)
1 Cd 0.6201 0.1201 0.2402  2 Cd 3.20, 2 Ce 3.20, 4 Ca 3.21-3.38
2 Cd 0.5000 0.5000 0.0000  8 Cd 3.20
3 Cd 0.8799 0.3799 0.7598  2 Cd 3.20, 2 Ce 3.20, 4 Ca 3.21-3.38
4 Cd 0.3799 0.8799 0.7598  2 Cd 3.20, 2 Ce 3.20, 4 Ca 3.21-3.38
5 Cd 0.1201 0.6201 0.2402  2 Cd 3.20, 2 Ce 3.20, 4 Ca 3.21-3.38
6 Ca 0.7405 0.7405 0.4810  8 Cd 3.21-3.38
7 Ca 0.2595 0.2595 0.5190  8 Cd 3.21-3.38
8 Ce 0.0000 0.0000 0.0000  8 Cd 3.20

Calculated values
Electronic total energy = -2.074 eV/atom
Fermi-level density of states = 10.44 states/eV per cell


The following is a PBE-GGA calculation of a geometry-optimized Ca2CeCd3 structure, from the Alexandria database.

Cell lengths 5.4200, 5.4200, 6.6635 Å; angles 90.00, 90.00, 120.00 degrees
Closest atoms and distances in Å follow each position.
Element x y z (fractional)
1 Cd 0.0000 0.0000 0.5000  6 Ca 3.31, 2 Ce 3.33
2 Cd 0.3333 0.6667 0.1625  3 Ce 3.31, 5 Ca 3.32-3.34
3 Cd 0.6667 0.3333 0.8375  3 Ce 3.31, 5 Ca 3.32-3.34
4 Ce 0.0000 0.0000 0.0000  8 Cd 3.31-3.33
5 Ca 0.6667 0.3333 0.3386  8 Cd 3.31-3.34
6 Ca 0.3333 0.6667 0.6614  8 Cd 3.31-3.34

Calculated values
Electronic total energy = -2.402 eV/atom
Fermi-level density of states = 8.84 states/eV per cell


The following is a PBE-GGA calculation of a geometry-optimized CaCeCd2 structure, from the Alexandria database.

Cell lengths 3.6718, 3.6718, 8.2838 Å; angles 90.00, 90.00, 90.00 degrees
Closest atoms and distances in Å follow each position.
Element x y z (fractional)
1 Ca 0.5000 0.5000 0.5000  8 Cd 3.30, 4 Ca 3.67
2 Ce 0.5000 0.5000 0.0000  8 Cd 3.34, 4 Ce 3.67
3 Cd 0.0000 0.0000 0.7454  4 Ca 3.30, 4 Ce 3.34, 4 Cd 3.67
4 Cd 0.0000 0.0000 0.2546  4 Ca 3.30, 4 Ce 3.34, 4 Cd 3.67

Calculated values
Electronic total energy = -2.684 eV/atom
Fermi-level density of states = 7.73 states/eV per cell


The following is a PBE-GGA calculation of a geometry-optimized CaCeCd3 structure, from the Alexandria database.

Cell lengths 3.4887, 5.0909, 15.0933 Å; angles 90.00, 96.64, 90.00 degrees
Closest atoms and distances in Å follow each position.
Element x y z (fractional)
1 Cd 0.3256 0.7500 0.6512  2 Cd 3.01, 4 Ca 3.29
2 Cd 0.3790 0.2500 0.7581  3 Cd 2.91-3.01, 2 Ca 3.24
3 Cd 0.4760 0.2500 0.9520  3 Cd 2.91-2.92
4 Cd 0.6744 0.2500 0.3488  2 Cd 3.01, 4 Ca 3.29
5 Cd 0.6210 0.7500 0.2419  3 Cd 2.91-3.01, 2 Ca 3.24
6 Cd 0.5240 0.7500 0.0480  3 Cd 2.91-2.92
7 Ce 0.9262 0.7500 0.8525  12 Cd 3.39-3.49, 2 Ce 3.49
8 Ce 0.0738 0.2500 0.1475  12 Cd 3.39-3.49, 2 Ce 3.49
9 Ca 0.7880 0.2500 0.5760  7 Cd 3.24-3.41, 2 Ca 3.49
10 Ca 0.2120 0.7500 0.4240  7 Cd 3.24-3.41, 2 Ca 3.49

Calculated values
Electronic total energy = -2.395 eV/atom
Fermi-level density of states = 15.56 states/eV per cell


The following is a PBE-GGA calculation of a geometry-optimized Ca2CeCd9 structure, from the Alexandria database.

Cell lengths 5.9996, 5.9996, 10.2145 Å; angles 72.92, 72.92, 60.00 degrees
Closest atoms and distances in Å follow each position.
Element x y z (fractional)
1 Ca 0.1425 0.1425 0.5726  12 Cd 3.43-3.53, 3 Ca 3.73
2 Ca 0.8575 0.8575 0.4274  12 Cd 3.43-3.53, 3 Ca 3.73
3 Cd 0.0772 0.5882 0.7464  7 Cd 2.93-3.07
4 Cd 0.4118 0.9228 0.2536  7 Cd 2.93-3.07
5 Cd 0.9228 0.4118 0.2536  7 Cd 2.93-3.07
6 Cd 0.5882 0.5882 0.7464  7 Cd 2.93-3.07
7 Cd 0.5882 0.0772 0.7464  7 Cd 2.93-3.07
8 Cd 0.6650 0.6650 0.0052  6 Cd 2.97-3.01
9 Cd 0.3350 0.3350 0.9948  6 Cd 2.97-3.01
10 Cd 0.5000 0.5000 0.5000  6 Cd 2.96
11 Cd 0.4118 0.4118 0.2536  7 Cd 2.93-3.07
12 Ce 0.0000 0.0000 0.0000  18 Cd 3.46-3.86

Calculated values
Electronic total energy = -1.736 eV/atom
Fermi-level density of states = 13.81 states/eV per cell


The following is a PBE-GGA calculation of a geometry-optimized CaCe2Cd structure, from the Alexandria database.

Cell lengths 3.2468, 3.2468, 12.4461 Å; angles 82.51, 82.51, 60.00 degrees
Closest atoms and distances in Å follow each position.
Element x y z (fractional)
1 Ca 0.0000 0.0000 0.0000  6 Ca 3.25, 2 Ce 3.32
2 Ce 0.0899 0.0899 0.7303  6 Ce 3.25, 1 Ca 3.32, 3 Cd 3.40
3 Ce 0.9101 0.9101 0.2697  6 Ce 3.25, 1 Ca 3.32, 3 Cd 3.40
4 Cd 0.5000 0.5000 0.5000  6 Cd 3.25, 6 Ce 3.40

Calculated values
Electronic total energy = -3.527 eV/atom
Fermi-level density of states = 9.93 states/eV per cell